Entry 1:
VASP calculation (GGA-PBE) on crystalline LaYAg2Se4 at its relaxed geometry.

## Properties
The total energy is -4.984 eV/atom. As for the raw formation energy: -1.11 eV per atom. The value obtained for the magnetic moment is 0.00 μB per cell. As for the crystal system: orthorhombic.

a b c (Å): 6.650 6.650 6.650
angles (deg): 116.18 115.28 97.57
Fractional positions:
La1 0.000 0.000 0.000
Y1 0.500 0.500 0.000
Ag1 0.337 0.837 0.500
Ag2 0.663 0.163 0.500
Se1 0.091 0.112 0.526
Se2 0.415 0.888 0.979
Se3 0.585 0.565 0.474
Se4 0.909 0.435 0.021

---

Entry 2:
VASP calculation (GGA-PBE) on crystalline LaSiAg at its relaxed geometry.

## Properties
The total energy is -4.489 eV/atom. As for the raw formation energy: -0.09 eV per atom. The value obtained for the magnetic moment is 0.00 μB per cell. As for the crystal system: orthorhombic.

a b c (Å): 5.253 5.253 5.253
angles (deg): 138.19 129.05 67.95
Fractional positions:
La1 0.000 0.000 0.000
Si1 0.650 0.650 0.000
Ag1 0.343 0.343 0.000